The following is a DFT calculation (PBE-GGA) of a geometry-optimized PrSm12Dy6 structure.

Values from the calculation:
energy above the most stable polymorph in this dataset: 0.000 eV/atom
crystal system: trigonal

Lattice parameters (Å, degrees): 12.0898 12.0898 15.2435 90.00 90.00 120.00
Space group R-3 (No. 148, hexagonal axes)
Asymmetric unit:
Pr  0.0000  0.0000  0.0000
Sm  0.0082  0.8315  0.1919
Sm  0.0450  0.8502  0.4167
Dy  0.0119  0.4250  0.6841

***

The following is a DFT calculation (PBE-GGA) of a geometry-optimized PrSm5Dy6 structure.

Values from the calculation:
crystal system: orthorhombic
uncorrected energy: -4.650 eV per atom

Lattice parameters (Å, degrees): 5.084 10.128 15.251 90.00 90.00 90.00
Space group Immm (No. 71)
Asymmetric unit:
Pr  0.000  0.000  0.000
Sm  0.000  0.000  0.333
Sm  0.000  0.500  0.000
Sm  0.000  0.500  0.333
Dy  0.000  0.249  0.500
Dy  0.000  0.251  0.167

***

The following is a DFT calculation (PBE-GGA) of a geometry-optimized PrSm4Dy5 structure.

Values from the calculation:
energy above the most stable polymorph in this dataset: 0.267 eV/atom
crystal system: tetragonal

Lattice parameters (Å, degrees): 10.326 10.326 6.270 90.00 90.00 90.00
Space group I4 (No. 79)
Asymmetric unit:
Pr  0.000  0.000  0.000
Sm  0.044  0.653  0.235
Dy  0.000  0.000  0.460
Dy  0.153  0.773  0.729

***

The following is a DFT calculation (PBE-GGA) of a geometry-optimized PrSm5Dy5 structure.

Values from the calculation:
energy above the most stable polymorph in this dataset: 0.000 eV/atom
crystal system: hexagonal

Lattice parameters (Å, degrees): 6.1301 6.1301 11.7063 90.00 90.00 120.00
Space group P-6m2 (No. 187)
Asymmetric unit:
Pr  0.0000  0.0000  0.0000
Sm  0.0000  0.0000  0.3236
Sm  0.3333  0.6667  0.1572
Sm  0.6667  0.3333  0.0000
Dy  0.0009  0.5005  0.5000
Dy  0.6667  0.3333  0.2660

***

The following is a DFT calculation (PBE-GGA) of a geometry-optimized Pr5Sm5Dy2 structure.

Values from the calculation:
crystal system: monoclinic
uncorrected energy: -4.708 eV per atom

Lattice parameters (Å, degrees): 15.497 5.161 11.547 90.00 116.54 90.00
Space group C2/m (No. 12)
Asymmetric unit:
Pr  0.000  0.000  0.000
Pr  0.165  0.000  0.499
Pr  0.249  0.500  0.750
Sm  0.000  0.500  0.500
Sm  0.082  0.500  0.249
Sm  0.167  0.500  0.000
Dy  0.083  0.000  0.752

***

The following is a DFT calculation (PBE-GGA) of a geometry-optimized PrSm5Dy12 structure.

Values from the calculation:
crystal system: monoclinic
uncorrected energy: -4.539 eV per atom

Lattice parameters (Å, degrees): 11.336 17.350 5.973 90.00 90.02 90.00
Space group C2/m (No. 12)
Asymmetric unit:
Pr  0.000  0.000  0.000
Sm  0.000  0.167  0.500
Sm  0.000  0.332  0.000
Sm  0.000  0.500  0.500
Dy  0.175  0.500  0.950
Dy  0.177  0.333  0.554
Dy  0.178  0.000  0.550
Dy  0.178  0.167  0.945

***

The following is a DFT calculation (PBE-GGA) of a geometry-optimized Pr2Sm7Dy2 structure.

Values from the calculation:
energy above the most stable polymorph in this dataset: 0.073 eV/atom
crystal system: monoclinic

Lattice parameters (Å, degrees): 7.021 10.638 10.078 90.00 93.13 90.00
Space group C2/m (No. 12)
Asymmetric unit:
Pr  0.206  0.000  0.287
Sm  0.000  0.500  0.000
Sm  0.125  0.204  0.853
Sm  0.185  0.500  0.364
Dy  0.000  0.228  0.500

***

The following is a DFT calculation (PBE-GGA) of a geometry-optimized PrSm2Dy7 structure.

Values from the calculation:
energy above the most stable polymorph in this dataset: 0.670 eV/atom
crystal system: orthorhombic

Lattice parameters (Å, degrees): 8.669 16.532 5.517 90.00 90.00 90.00
Space group Cmmm (No. 65)
Asymmetric unit:
Pr  0.000  0.000  0.000
Sm  0.000  0.297  0.500
Dy  0.000  0.212  0.000
Dy  0.000  0.500  0.500
Dy  0.177  0.113  0.500

***

The following is a DFT calculation (PBE-GGA) of a geometry-optimized Pr2SmDy structure.

Values from the calculation:
energy above the most stable polymorph in this dataset: 0.005 eV/atom
crystal system: tetragonal

Lattice parameters (Å, degrees): 5.174 5.174 5.129 90.00 90.00 90.00
Space group P4/mmm (No. 123)
Asymmetric unit:
Pr  0.000  0.500  0.000
Sm  0.000  0.000  0.500
Dy  0.500  0.500  0.500

***

The following is a DFT calculation (PBE-GGA) of a geometry-optimized Pr12Sm6Dy structure.

Values from the calculation:
energy above the most stable polymorph in this dataset: 0.178 eV/atom
crystal system: trigonal

Lattice parameters (Å, degrees): 16.5450 16.5450 8.6861 90.00 90.00 120.00
Space group R-3m (No. 166, hexagonal axes)
Asymmetric unit:
Pr  0.0000  0.3805  0.0000
Pr  0.0935  0.5468  0.3207
Sm  0.0829  0.1658  0.1451
Dy  0.0000  0.0000  0.5000

***

The following is a DFT calculation (PBE-GGA) of a geometry-optimized Pr12SmDy7 structure.

Values from the calculation:
energy above the most stable polymorph in this dataset: 0.087 eV/atom
crystal system: trigonal

Lattice parameters (Å, degrees): 19.7386 19.7386 6.2910 90.00 90.00 120.00
Space group R-3m (No. 166, hexagonal axes)
Asymmetric unit:
Pr  0.0000  0.4117  0.0000
Pr  0.0976  0.5488  0.4695
Sm  0.0000  0.0000  0.5000
Dy  0.0000  0.0000  0.0000
Dy  0.0819  0.1638  0.2945

***

The following is a DFT calculation (PBE-GGA) of a geometry-optimized Pr4Sm2Dy5 structure.

Values from the calculation:
energy above the most stable polymorph in this dataset: 0.000 eV/atom
crystal system: monoclinic

Lattice parameters (Å, degrees): 19.377 5.736 6.692 90.00 90.94 90.00
Space group C2/m (No. 12)
Asymmetric unit:
Pr  0.021  0.000  0.285
Pr  0.195  0.500  0.077
Sm  0.098  0.500  0.554
Dy  0.000  0.500  0.000
Dy  0.131  0.000  0.891
Dy  0.209  0.000  0.401

***

no.,total moment (μB/f.u.),D(E_F) (states/eV/atom)
1,0.000,1.670
2,0.000,1.299
3,0.000,1.391
4,0.000,1.803
5,0.000,1.534
6,0.000,1.713
7,0.000,1.476
8,0.000,1.528
9,0.000,1.617
10,0.006,1.664
11,0.000,1.407
12,0.000,1.474